CsNbP2O8: relaxed, GGA-PBE.

Unit cell a=5.1825 b=5.1825 c=9.0478 alpha=92.44 beta=92.44 gamma=61.69
Closest atoms and distances in Å follow each position.
Positions (direct):
Cs  0.0000  0.0000  0.0000  10 O 3.22-3.51
Nb  0.0000  0.0000  0.5000  6 O 1.97-2.00
P  0.3528  0.3528  0.6924  4 O 1.49-1.57
P  0.6472  0.6472  0.3076  4 O 1.49-1.57
O  0.2067  0.2067  0.5872  1 P 1.57
O  0.2110  0.6809  0.6458  1 P 1.57
O  0.3191  0.7890  0.3542  1 P 1.57
O  0.3222  0.3222  0.8528  1 P 1.49
O  0.6778  0.6778  0.1472  1 P 1.49
O  0.6809  0.2110  0.6458  1 P 1.57
O  0.7890  0.3191  0.3542  1 P 1.57
O  0.7933  0.7933  0.4128  1 P 1.57

Results
**Total moment**: 0.00 μB per cell
**Formation energy without anion corrections**: -2.390 eV/atom
**Calculated volume**: 213.7 Å³/cell
**Space-group type**: C2/m, No. 12